# LiReSeBr2 PBE-GGA optimized geometry
data_LiReSeBr2
_chemical_formula_sum 'Li1 Re1 Se1 Br2'
_space_group_name_H-M_alt 'P 1'
_space_group_IT_number 1
_space_group_name_Hall 'P 1'
_cell_length_a 4.5109
_cell_length_b 4.5109
_cell_length_c 6.0519
_cell_angle_alpha 90.00
_cell_angle_beta 90.00
_cell_angle_gamma 90.00
loop_
_atom_site_label
_atom_site_type_symbol
_atom_site_fract_x
_atom_site_fract_y
_atom_site_fract_z
Li1 Li 0.0000 0.0000 0.0000
Re1 Re 0.5000 0.5000 0.5000
Se1 Se 0.0000 0.0000 0.5000
Br1 Br 0.0000 0.5000 0.0000
Br2 Br 0.5000 0.0000 0.0000
# SG: P4/mmm



# PmPd2F11 PBE-GGA optimized geometry
data_PmPd2F11
_chemical_formula_sum 'Pm2 Pd4 F22'
_space_group_name_H-M_alt 'P 1'
_space_group_IT_number 1
_space_group_name_Hall 'P 1'
_cell_length_a 8.1742
_cell_length_b 8.1742
_cell_length_c 8.1742
_cell_angle_alpha 114.14
_cell_angle_beta 114.14
_cell_angle_gamma 100.49
loop_
_atom_site_label
_atom_site_type_symbol
_atom_site_fract_x
_atom_site_fract_y
_atom_site_fract_z
Pm1 Pm 0.2500 0.2500 0.0000
Pm2 Pm 0.7500 0.7500 0.0000
Pd1 Pd 0.1654 0.6654 0.8307
Pd2 Pd 0.3346 0.1654 0.5000
Pd3 Pd 0.6654 0.8346 0.5000
Pd4 Pd 0.8346 0.3346 0.1693
F1 F 0.0000 0.5000 0.5000
F2 F 0.0719 0.3529 0.1589
F3 F 0.0870 0.9281 0.2810
F4 F 0.1471 0.4281 0.8411
F5 F 0.1856 0.3144 0.5000
F6 F 0.1940 0.9130 0.8411
F7 F 0.3060 0.1471 0.7190
F8 F 0.3144 0.8144 0.1287
F9 F 0.3529 0.1940 0.2810
F10 F 0.4130 0.6940 0.8411
F11 F 0.4281 0.5870 0.2810
F12 F 0.5000 0.0000 0.5000
F13 F 0.5719 0.4130 0.7190
F14 F 0.5870 0.3060 0.1589
F15 F 0.6471 0.8060 0.7190
F16 F 0.6856 0.1856 0.8713
F17 F 0.6940 0.8529 0.2810
F18 F 0.8060 0.0870 0.1589
F19 F 0.8144 0.6856 0.5000
F20 F 0.8529 0.5719 0.1589
F21 F 0.9130 0.0719 0.7190
F22 F 0.9281 0.6471 0.8411
# SG: I4/mcm



# CuSi3 PBE-GGA optimized geometry
data_CuSi3
_chemical_formula_sum 'Cu2 Si6'
_space_group_name_H-M_alt 'P 1'
_space_group_IT_number 1
_space_group_name_Hall 'P 1'
_cell_length_a 3.3569
_cell_length_b 3.5314
_cell_length_c 10.0030
_cell_angle_alpha 90.00
_cell_angle_beta 90.00
_cell_angle_gamma 90.00
loop_
_atom_site_label
_atom_site_type_symbol
_atom_site_fract_x
_atom_site_fract_y
_atom_site_fract_z
Cu1 Cu 0.0000 0.0000 0.0000
Cu2 Cu 0.5000 0.5000 0.5000
Si1 Si 0.0000 0.0000 0.5000
Si2 Si 0.0000 0.5000 0.1940
Si3 Si 0.0000 0.5000 0.8060
Si4 Si 0.5000 0.0000 0.3060
Si5 Si 0.5000 0.0000 0.6940
Si6 Si 0.5000 0.5000 0.0000
# SG: Immm



no.,ΔE_f (raw) (eV/atom),raw total energy (eV/cell)
1,0.780,-17.295
2,-1.986,-127.058
3,0.347,-37.952